DFT (PBE) results for crystalline BaV2Hg2 at its relaxed geometry.

Cell: 5.294 5.294 8.999 Å, 90.00 90.00 90.00°
Space group I4/mmm (No. 139)
One atom of each set of equivalent atoms:
Ba1 0.000 0.000 0.000 (multiplicity 2)
V1 0.000 0.000 0.397 (multiplicity 4)
Hg1 0.000 0.500 0.250 (multiplicity 4)

Results
- Spin magnetization: 0.7 μB per formula unit
- Electronic total energy: -3.81 eV/atom
- DFT formation energy: 0.34 eV/atom
- Energy relative to the lowest polymorph listed for this composition: 32 meV per atom